CdSbC2 | PBE-GGA | relaxed

As for the uncorrected formation energy: 2224 meV per atom. The energy above the lowest structure with this stoichiometry is 880 meV/atom. The calculated density is 7.4 g/cm3. The calculated total energy comes out at -3.648 eV per atom.

The space group is Fm-3m (No. 225) and the conventional cell measures 6.152, 6.152 and 6.152 Å, with angles of 90.00, 90.00 and 90.00 degrees. The distinct sites, in fractional coordinates, are Cd at (0.000, 0.000, 0.000), Sb at (0.000, 0.000, 0.500) and C at (0.250, 0.250, 0.250).